{"formula": "BeSiCSe2", "functional": "GGA-PBE", "state": "optimized geometry", "spacegroup": "P4/mmm (123)", "density_g_cm3": 4.0, "e_form_raw_ev_per_fu": 5.30, "dft_energy_ev_per_atom": -4.01, "volume_a3_per_cell": 85.60, "lattice_angstrom": [[-1.367, 3.813, 2.823], [1.146, -1.700, 2.851], [4.462, 2.031, -0.583]], "species": ["Be", "Si", "C", "Se", "Se"], "fractional_positions": [[0.500, 0.500, 0.500], [0.000, 0.000, 0.000], [0.000, 0.500, 0.000], [0.000, 0.000, 0.500], [0.500, 0.000, 0.000]]}